# FePd (PBE, optimized geometry)
# * calculated formation energy: 1162 meV/atom
# * DOS at the Fermi energy: 1.37 states/eV per atom
data_FePd
_chemical_formula_sum 'Fe6 Pd6'
_symmetry_space_group_name_H-M 'P m -3 n'
_symmetry_Int_Tables_number 223
_symmetry_space_group_name_Hall '-P 4n 2 3'
_cell_length_a 6.851
_cell_length_b 6.851
_cell_length_c 6.851
_cell_angle_alpha 90.00
_cell_angle_beta 90.00
_cell_angle_gamma 90.00
loop_
_atom_site_label
_atom_site_fract_x
_atom_site_fract_y
_atom_site_fract_z
Fe1 0.000 0.250 0.500
Pd1 0.000 0.500 0.250



# NbInMo3 (PBE, optimized geometry)
# * calculated formation energy: 1647 meV/atom
# * DOS at the Fermi energy: 1.37 states/eV per atom
data_NbInMo3
_chemical_formula_sum 'Nb1 In1 Mo3'
_symmetry_space_group_name_H-M 'P m -3 m'
_symmetry_Int_Tables_number 221
_symmetry_space_group_name_Hall '-P 4 2 3'
_cell_length_a 4.774
_cell_length_b 4.774
_cell_length_c 4.774
_cell_angle_alpha 90.00
_cell_angle_beta 90.00
_cell_angle_gamma 90.00
loop_
_atom_site_label
_atom_site_fract_x
_atom_site_fract_y
_atom_site_fract_z
Nb1 0.000 0.000 0.000
In1 0.500 0.500 0.500
Mo1 0.000 0.000 0.500



# BaNaSb (PBE, optimized geometry)
# * formation energy without anion corrections: -2.2 eV per formula unit
data_BaNaSb
_chemical_formula_sum 'Ba6 Na6 Sb6'
_symmetry_space_group_name_H-M 'R -3 m'
_symmetry_Int_Tables_number 166
_symmetry_space_group_name_Hall '-R 3 2"'
_cell_length_a 5.7235
_cell_length_b 5.7235
_cell_length_c 27.0656
_cell_angle_alpha 90.00
_cell_angle_beta 90.00
_cell_angle_gamma 120.00
loop_
_atom_site_label
_atom_site_fract_x
_atom_site_fract_y
_atom_site_fract_z
Ba1 0.0000 0.0000 0.1161
Na1 0.0000 0.0000 0.3676
Sb1 0.0000 0.0000 0.2515



# Np2PaTc (PBE, optimized geometry)
# * calculated formation energy: 270 meV/atom
# * DOS at the Fermi energy: 2.27 states/eV per atom
data_Np2PaTc
_chemical_formula_sum 'Np6 Pa3 Tc3'
_symmetry_space_group_name_H-M 'R -3 m'
_symmetry_Int_Tables_number 166
_symmetry_space_group_name_Hall '-R 3 2"'
_cell_length_a 4.6408
_cell_length_b 4.6408
_cell_length_c 12.9956
_cell_angle_alpha 90.00
_cell_angle_beta 90.00
_cell_angle_gamma 120.00
loop_
_atom_site_label
_atom_site_fract_x
_atom_site_fract_y
_atom_site_fract_z
Np1 0.0000 0.0000 0.2448
Pa1 0.0000 0.0000 0.0000
Tc1 0.0000 0.0000 0.5000



# Th6SnBi3Sb2 (PBE, optimized geometry)
# * formation energy without anion corrections: -8.2 eV per formula unit
# * DOS at the Fermi energy: 0.64 states/eV per atom
data_Th6SnBi3Sb2
_chemical_formula_sum 'Th12 Sn2 Bi6 Sb4'
_symmetry_space_group_name_H-M 'C 1 2/m 1'
_symmetry_Int_Tables_number 12
_cell_length_a 19.897
_cell_length_b 4.548
_cell_length_c 9.134
_cell_angle_alpha 90.00
_cell_angle_beta 103.61
_cell_angle_gamma 90.00
loop_
_symmetry_equiv_pos_as_xyz
'x,y,z'
'-x,-y,-z'
'-x,y,-z'
'x,-y,z'
'x+1/2,y+1/2,z'
'-x+1/2,-y+1/2,-z'
'-x+1/2,y+1/2,-z'
'x+1/2,-y+1/2,z'
loop_
_atom_site_label
_atom_site_fract_x
_atom_site_fract_y
_atom_site_fract_z
Th1 0.002 0.000 0.242
Th2 0.163 0.500 0.090
Th3 0.169 0.500 0.576
Sn1 0.000 0.500 0.000
Bi1 0.000 0.500 0.500
Bi2 0.167 0.000 0.833
Sb1 0.167 0.000 0.333



# ThZnGa (PBE, optimized geometry)
# * calculated formation energy: 266 meV/atom
# * DOS at the Fermi energy: 1.16 states/eV per atom
data_ThZnGa
_chemical_formula_sum 'Th2 Zn2 Ga2'
_symmetry_space_group_name_H-M 'I 4 m m'
_symmetry_Int_Tables_number 107
_symmetry_space_group_name_Hall 'I 4 -2'
_cell_length_a 3.169
_cell_length_b 3.169
_cell_length_c 15.770
_cell_angle_alpha 90.00
_cell_angle_beta 90.00
_cell_angle_gamma 90.00
loop_
_atom_site_label
_atom_site_fract_x
_atom_site_fract_y
_atom_site_fract_z
Th1 0.000 0.000 0.000
Zn1 0.000 0.000 0.805
Ga1 0.000 0.000 0.644



# AcBiRhPb (PBE, optimized geometry)
# * calculated formation energy: -523 meV/atom
# * DOS at the Fermi energy: 0.40 states/eV per atom
data_AcBiRhPb
_chemical_formula_sum 'Ac2 Bi2 Rh2 Pb2'
_symmetry_space_group_name_H-M 'P 4/n m m'
_symmetry_Int_Tables_number 129
_cell_length_a 4.642
_cell_length_b 4.642
_cell_length_c 10.494
_cell_angle_alpha 90.00
_cell_angle_beta 90.00
_cell_angle_gamma 90.00
loop_
_symmetry_equiv_pos_as_xyz
'x,y,z'
'-x,-y,-z'
'-y+1/2,x,z'
'y+1/2,-x,-z'
'-x+1/2,-y+1/2,z'
'x+1/2,y+1/2,-z'
'y,-x+1/2,z'
'-y,x+1/2,-z'
'x+1/2,-y,-z'
'-x+1/2,y,z'
'-y,-x,-z'
'y,x,z'
'-x,y+1/2,-z'
'x,-y+1/2,z'
'y+1/2,x+1/2,-z'
'-y+1/2,-x+1/2,z'
loop_
_atom_site_label
_atom_site_fract_x
_atom_site_fract_y
_atom_site_fract_z
Ac1 0.250 0.250 0.246
Bi1 0.250 0.250 0.930
Rh1 0.250 0.250 0.674
Pb1 0.250 0.750 0.500



# Ca2Pr3YTe6 (PBE, optimized geometry)
# * formation energy without anion corrections: -17.7 eV per formula unit
# * DOS at the Fermi energy: 0.50 states/eV per atom
data_Ca2Pr3YTe6
_chemical_formula_sum 'Ca4 Pr6 Y2 Te12'
_symmetry_space_group_name_H-M 'C 1 2/m 1'
_symmetry_Int_Tables_number 12
_cell_length_a 7.697
_cell_length_b 13.344
_cell_length_c 7.913
_cell_angle_alpha 90.00
_cell_angle_beta 108.98
_cell_angle_gamma 90.00
loop_
_symmetry_equiv_pos_as_xyz
'x,y,z'
'-x,-y,-z'
'-x,y,-z'
'x,-y,z'
'x+1/2,y+1/2,z'
'-x+1/2,-y+1/2,-z'
'-x+1/2,y+1/2,-z'
'x+1/2,-y+1/2,z'
loop_
_atom_site_label
_atom_site_fract_x
_atom_site_fract_y
_atom_site_fract_z
Ca1 0.000 0.166 0.000
Pr1 0.000 0.000 0.500
Pr2 0.000 0.328 0.500
Y1 0.000 0.500 0.000
Te1 0.244 0.335 0.237
Te2 0.248 0.500 0.756



# Y2AlSi (PBE, optimized geometry)
# * formation energy without anion corrections: -1.8 eV per formula unit
# * DOS at the Fermi energy: 0.65 states/eV per atom
data_Y2AlSi
_chemical_formula_sum 'Y2 Al1 Si1'
_symmetry_space_group_name_H-M 'P m m m'
_symmetry_Int_Tables_number 47
_cell_length_a 3.438
_cell_length_b 3.902
_cell_length_c 6.742
_cell_angle_alpha 90.00
_cell_angle_beta 90.00
_cell_angle_gamma 90.00
loop_
_symmetry_equiv_pos_as_xyz
'x,y,z'
'-x,-y,-z'
'-x,-y,z'
'x,y,-z'
'x,-y,-z'
'-x,y,z'
'-x,y,-z'
'x,-y,z'
loop_
_atom_site_label
_atom_site_fract_x
_atom_site_fract_y
_atom_site_fract_z
Y1 0.000 0.000 0.238
Al1 0.500 0.500 0.500
Si1 0.500 0.500 0.000



# Ti3W (PBE, optimized geometry)
# * calculated formation energy: 16 meV/atom
# * DOS at the Fermi energy: 1.43 states/eV per atom
data_Ti3W
_chemical_formula_sum 'Ti6 W2'
_symmetry_space_group_name_H-M 'P 1 21/m 1'
_symmetry_Int_Tables_number 11
_cell_length_a 6.630
_cell_length_b 3.183
_cell_length_c 7.093
_cell_angle_alpha 90.00
_cell_angle_beta 115.73
_cell_angle_gamma 90.00
loop_
_symmetry_equiv_pos_as_xyz
'x,y,z'
'-x,-y,-z'
'-x,y+1/2,-z'
'x,-y+1/2,z'
loop_
_atom_site_label
_atom_site_fract_x
_atom_site_fract_y
_atom_site_fract_z
Ti1 0.025 0.250 0.353
Ti2 0.199 0.750 0.126
Ti3 0.415 0.750 0.621
W1 0.325 0.250 0.885



# RbPu2ZnBr8 (PBE, optimized geometry)
# * formation energy without anion corrections: -16.0 eV per formula unit
# * DOS at the Fermi energy: 2.44 states/eV per atom
data_RbPu2ZnBr8
_chemical_formula_sum 'Rb1 Pu2 Zn1 Br8'
_symmetry_space_group_name_H-M 'P 1 2/m 1'
_symmetry_Int_Tables_number 10
_cell_length_a 6.864
_cell_length_b 9.062
_cell_length_c 7.133
_cell_angle_alpha 90.00
_cell_angle_beta 95.64
_cell_angle_gamma 90.00
loop_
_symmetry_equiv_pos_as_xyz
'x,y,z'
'-x,-y,-z'
'-x,y,-z'
'x,-y,z'
loop_
_atom_site_label
_atom_site_fract_x
_atom_site_fract_y
_atom_site_fract_z
Rb1 0.000 0.000 0.000
Pu1 0.500 0.262 0.500
Zn1 0.000 0.500 0.000
Br1 0.230 0.300 0.156
Br2 0.269 0.500 0.654
Br3 0.287 0.000 0.631



# YAs2PdSe (PBE, optimized geometry)
# * formation energy without anion corrections: -1.1 eV per formula unit
# * DOS at the Fermi energy: 0.67 states/eV per atom
data_YAs2PdSe
_chemical_formula_sum 'Y1 As2 Pd1 Se1'
_symmetry_space_group_name_H-M 'P 4/m m m'
_symmetry_Int_Tables_number 123
_symmetry_space_group_name_Hall '-P 4 2'
_cell_length_a 4.831
_cell_length_b 4.831
_cell_length_c 5.068
_cell_angle_alpha 90.00
_cell_angle_beta 90.00
_cell_angle_gamma 90.00
loop_
_atom_site_label
_atom_site_fract_x
_atom_site_fract_y
_atom_site_fract_z
Y1 0.000 0.000 0.000
As1 0.000 0.500 0.500
Pd1 0.500 0.500 0.500
Se1 0.500 0.500 0.000